No. 1
# KBa2Re

A relaxed KBa2Re crystal (PBE-GGA, Alexandria via LeMat-Bulk).

The calculation puts the total energy at -3.1545 eV per atom. Its energy above the most stable polymorph in this dataset is 352 meV per atom.

Unit cell a=9.294 b=5.696 c=4.641 alpha=90.00 beta=60.04 gamma=127.76
Site moments in Bohr magnetons follow the coordinates.
Fractional positions:
K1 0.000 0.500 0.500  -0.02
Ba1 0.000 0.000 0.000  -0.09
Ba2 0.500 0.000 0.500  -0.09
Re1 0.500 0.500 0.000  2.05



No. 2
# ZnCu2Se

A relaxed ZnCu2Se crystal (PBE-GGA, Alexandria via LeMat-Bulk).

The calculation puts the total energy at -3.1728 eV per atom. The formation energy without anion corrections comes out at 0.065 eV per atom. Its energy above the most stable polymorph in this dataset is 45 meV per atom.

Unit cell a=4.098 b=4.098 c=5.564 alpha=95.49 beta=95.49 gamma=51.84
Fractional positions:
Se1 0.602 0.602 0.395
Zn1 0.649 0.649 0.845
Cu1 0.966 0.966 0.045
Cu2 0.283 0.283 0.216



No. 3
# Ta2BiAs2

A relaxed Ta2BiAs2 crystal (PBE-GGA, Alexandria via LeMat-Bulk).

The calculation puts the total energy at -7.4581 eV per atom.

Unit cell a=7.739 b=7.739 c=3.281 alpha=90.00 beta=90.00 gamma=90.00
Fractional positions:
Ta1 0.139 0.361 0.000
Ta2 0.361 0.861 0.000
Bi1 0.500 0.500 0.000
As1 0.860 0.360 0.500
Ta3 0.861 0.639 0.000
As2 0.360 0.140 0.500
As3 0.140 0.640 0.500
Bi2 0.000 0.000 0.000
As4 0.640 0.860 0.500
Ta4 0.639 0.139 0.000



No. 4
# ErSI

A relaxed ErSI crystal (PBE-GGA, Alexandria via LeMat-Bulk).

The calculation puts the total energy at -4.8068 eV per atom. The formation energy without anion corrections comes out at -1.393 eV per atom.

Unit cell a=3.595 b=3.595 c=7.403 alpha=104.05 beta=104.05 gamma=90.00
Fractional positions:
S1 0.274 0.274 0.549
I1 0.033 0.033 0.067
Er1 0.692 0.692 0.385



No. 5
# CuI4

A relaxed CuI4 crystal (PBE-GGA, Alexandria via LeMat-Bulk).

The calculation puts the total energy at -1.9911 eV per atom. The formation energy without anion corrections comes out at 0.068 eV per atom. Its energy above the most stable polymorph in this dataset is 0 meV per atom.

Unit cell a=8.774 b=8.774 c=8.774 alpha=147.22 beta=147.22 gamma=47.04
Fractional positions:
I1 0.631 0.140 0.000
Cu1 0.000 0.000 0.000
I2 0.860 0.860 0.491
I3 0.369 0.369 0.509
I4 0.140 0.631 0.000



No. 6
# AcSmGaSn

A relaxed AcSmGaSn crystal (PBE-GGA, Alexandria via LeMat-Bulk).

The calculation puts the total energy at -4.4763 eV per atom.

Unit cell a=5.513 b=5.513 c=5.513 alpha=60.00 beta=60.00 gamma=60.00
Fractional positions:
Sm1 0.500 0.500 0.500
Ga1 0.750 0.750 0.750
Ac1 0.000 0.000 0.000
Sn1 0.250 0.250 0.250



No. 7
# PmAlCu

A relaxed PmAlCu crystal (PBE-GGA, Alexandria via LeMat-Bulk).

The calculation puts the total energy at -4.5634 eV per atom. Its energy above the most stable polymorph in this dataset is 0 meV per atom.

Unit cell a=4.232 b=7.146 c=12.163 alpha=91.12 beta=90.00 gamma=90.00
Fractional positions:
Cu1 0.750 0.279 0.751
Al1 0.750 0.161 0.541
Pm1 0.250 0.498 0.627
Pm2 0.750 0.011 0.293
Al2 0.250 0.988 0.082
Pm3 0.250 0.989 0.707
Pm4 0.750 0.502 0.373
Pm5 0.250 0.359 0.916
Al3 0.750 0.012 0.918
Al4 0.250 0.336 0.195
Al5 0.250 0.839 0.459
Pm6 0.750 0.641 0.084
Cu2 0.250 0.721 0.249
Cu3 0.750 0.792 0.570
Cu4 0.250 0.784 0.911
Cu5 0.250 0.208 0.430
Cu6 0.750 0.216 0.089
Al6 0.750 0.664 0.805



No. 8
# NaEuPb4

A relaxed NaEuPb4 crystal (PBE-GGA, Alexandria via LeMat-Bulk).

The calculation puts the total energy at -4.5953 eV per atom.

Unit cell a=6.579 b=6.579 c=6.579 alpha=60.00 beta=60.00 gamma=60.00
Site moments in Bohr magnetons follow the coordinates.
Fractional positions:
Pb1 0.626 0.123 0.626  -0.01
Pb2 0.626 0.626 0.626  -0.01
Na1 0.250 0.250 0.250  0.00
Eu1 0.000 0.000 0.000  -6.90
Pb3 0.123 0.626 0.626  -0.01
Pb4 0.626 0.626 0.123  -0.01



No. 9
# Cu12Au17

A relaxed Cu12Au17 crystal (PBE-GGA, Alexandria via LeMat-Bulk).

The calculation puts the total energy at -3.6113 eV per atom.

Unit cell a=8.402 b=8.402 c=8.402 alpha=109.47 beta=109.47 gamma=109.47
Fractional positions:
Au1 0.311 0.311 0.715
Cu1 0.183 0.814 0.814
Cu2 0.817 0.631 0.631
Au2 0.689 0.404 0.000
Au3 0.285 0.596 0.596
Cu3 0.369 0.000 0.186
Au4 0.689 0.000 0.404
Au5 0.670 0.000 0.000
Au6 0.000 0.689 0.404
Cu4 0.631 0.631 0.817
Au7 0.311 0.715 0.311
Cu5 0.000 0.369 0.186
Au8 0.404 0.689 0.000
Au9 0.596 0.596 0.285
Cu6 0.814 0.183 0.814
Au10 0.000 0.000 0.000
Au11 0.000 0.670 0.000
Cu7 0.814 0.814 0.183
Au12 0.404 0.000 0.689
Au13 0.596 0.285 0.596
Au14 0.330 0.330 0.330
Au15 0.000 0.404 0.689
Au16 0.000 0.000 0.670
Cu8 0.369 0.186 0.000
Cu9 0.631 0.817 0.631
Cu10 0.000 0.186 0.369
Cu11 0.186 0.000 0.369
Au17 0.715 0.311 0.311
Cu12 0.186 0.369 0.000



No. 10
# USeN

A relaxed USeN crystal (PBE-GGA, Alexandria via LeMat-Bulk).

The calculation puts the total energy at -8.9351 eV per atom. The formation energy without anion corrections comes out at -1.236 eV per atom. Its energy above the most stable polymorph in this dataset is 179 meV per atom.

Unit cell a=4.293 b=3.760 c=3.760 alpha=120.00 beta=90.00 gamma=90.00
Site moments in Bohr magnetons follow the coordinates.
Fractional positions:
U1 0.167 0.000 0.000  1.07
N1 0.167 0.333 0.667  -0.10
Se1 0.667 0.667 0.333  -0.07



No. 11
# Sr4NbAlO8

A relaxed Sr4NbAlO8 crystal (PBE-GGA, Alexandria via LeMat-Bulk).

The calculation puts the total energy at -7.2033 eV per atom. The formation energy without anion corrections comes out at -2.903 eV per atom.

Unit cell a=5.904 b=7.249 c=19.927 alpha=97.31 beta=90.00 gamma=90.00
Fractional positions:
O1 0.157 0.938 0.421
Sr1 0.752 0.025 0.903
O2 0.722 0.822 0.795
Sr2 0.748 0.025 0.403
O3 0.291 0.549 0.876
Sr3 0.710 0.140 0.209
O4 0.843 0.062 0.579
Nb1 0.259 0.340 0.789
O5 0.462 0.211 0.341
O6 0.657 0.062 0.079
O7 0.778 0.822 0.295
O8 0.527 0.488 0.256
O9 0.985 0.205 0.320
O10 0.027 0.512 0.244
O11 0.697 0.336 0.978
O12 0.278 0.178 0.205
Al1 0.217 0.733 0.943
Al2 0.717 0.267 0.557
O13 0.803 0.336 0.478
O14 0.962 0.789 0.159
O15 0.973 0.488 0.756
O16 0.485 0.795 0.180
Sr4 0.252 0.975 0.597
O17 0.303 0.664 0.022
O18 0.791 0.451 0.624
O19 0.538 0.789 0.659
O20 0.583 0.753 0.443
Sr5 0.250 0.499 0.134
O21 0.473 0.512 0.744
Sr6 0.280 0.286 0.954
Sr7 0.250 0.499 0.634
Sr8 0.750 0.501 0.866
Nb2 0.241 0.340 0.289
Sr9 0.220 0.286 0.454
Nb3 0.741 0.660 0.211
O22 0.343 0.938 0.921
O23 0.417 0.247 0.557
Sr10 0.248 0.975 0.097
O24 0.709 0.451 0.124
Sr11 0.750 0.501 0.366
O25 0.917 0.753 0.943
Sr12 0.790 0.140 0.709
O26 0.209 0.549 0.376
Sr13 0.210 0.860 0.291
Al3 0.783 0.267 0.057
O27 0.015 0.795 0.680
Nb4 0.759 0.660 0.711
Al4 0.283 0.733 0.443
O28 0.197 0.664 0.522
O29 0.038 0.211 0.841
O30 0.515 0.205 0.820
O31 0.083 0.247 0.057
Sr14 0.290 0.860 0.791
O32 0.222 0.178 0.705
Sr15 0.780 0.714 0.546
Sr16 0.720 0.714 0.046



No. 12
# ZnCu2Ni

A relaxed ZnCu2Ni crystal (PBE-GGA, Alexandria via LeMat-Bulk).

The calculation puts the total energy at -3.9326 eV per atom.

Unit cell a=3.618 b=3.618 c=3.673 alpha=90.00 beta=90.00 gamma=90.00
Fractional positions:
Zn1 0.000 0.500 0.500
Cu1 0.500 0.500 0.000
Cu2 0.000 0.000 0.000
Ni1 0.500 0.000 0.500



No. 13
# TiInF5

A relaxed TiInF5 crystal (PBE-GGA, Alexandria via LeMat-Bulk).

The calculation puts the total energy at -5.7878 eV per atom. The formation energy without anion corrections comes out at -2.932 eV per atom.

Unit cell a=3.962 b=6.272 c=6.272 alpha=76.27 beta=71.59 gamma=71.59
Fractional positions:
F1 0.004 0.500 0.500
F2 0.720 0.295 0.295
Ti1 0.497 0.500 0.500
F3 0.500 0.258 0.742
F4 0.500 0.742 0.258
In1 0.000 0.000 0.000
F5 0.310 0.705 0.705



No. 14
# YHfB2

A relaxed YHfB2 crystal (PBE-GGA, Alexandria via LeMat-Bulk).

The calculation puts the total energy at -7.1642 eV per atom. Its energy above the most stable polymorph in this dataset is 0 meV per atom.

Unit cell a=4.389 b=4.389 c=4.389 alpha=60.00 beta=60.00 gamma=60.00
Fractional positions:
Hf1 0.500 0.500 0.500
B1 0.250 0.250 0.250
B2 0.750 0.750 0.750
Y1 0.000 0.000 0.000



No. 15
# Be2Mo2Rh

A relaxed Be2Mo2Rh crystal (PBE-GGA, Alexandria via LeMat-Bulk).

The calculation puts the total energy at -7.4628 eV per atom.

Unit cell a=5.924 b=5.924 c=3.493 alpha=90.00 beta=90.00 gamma=90.00
Fractional positions:
Be1 0.129 0.371 0.000
Be2 0.629 0.129 0.000
Rh1 0.000 0.000 0.000
Mo1 0.333 0.167 0.500
Rh2 0.500 0.500 0.000
Be3 0.371 0.871 0.000
Mo2 0.667 0.833 0.500
Mo3 0.833 0.333 0.500
Mo4 0.167 0.667 0.500
Be4 0.871 0.629 0.000



No. 16
# BaTc2GeN

A relaxed BaTc2GeN crystal (PBE-GGA, Alexandria via LeMat-Bulk).

The calculation puts the total energy at -7.3884 eV per atom. The formation energy without anion corrections comes out at -0.269 eV per atom.

Unit cell a=4.418 b=6.093 c=7.198 alpha=90.00 beta=90.00 gamma=111.25
Fractional positions:
N1 0.000 0.000 0.000
N2 0.000 0.000 0.500
Tc1 0.164 0.328 0.568
Tc2 0.836 0.672 0.068
Tc3 0.836 0.672 0.432
Ba1 0.451 0.903 0.750
Tc4 0.164 0.328 0.932
Ba2 0.549 0.097 0.250
Ge1 0.729 0.457 0.750
Ge2 0.271 0.543 0.250



No. 17
# EuGdIrPt

A relaxed EuGdIrPt crystal (PBE-GGA, Alexandria via LeMat-Bulk).

The calculation puts the total energy at -10.5579 eV per atom.

Unit cell a=4.973 b=4.973 c=4.973 alpha=60.00 beta=60.00 gamma=60.00
Site moments in Bohr magnetons follow the coordinates.
Fractional positions:
Ir1 0.500 0.500 0.500  0.22
Eu1 0.750 0.750 0.750  -6.68
Gd1 0.250 0.250 0.250  -7.02
Pt1 0.000 0.000 0.000  0.07



No. 18
# Li3B4C4

A relaxed Li3B4C4 crystal (PBE-GGA, Alexandria via LeMat-Bulk).

The calculation puts the total energy at -6.5380 eV per atom. Its energy above the most stable polymorph in this dataset is 7 meV per atom.

Unit cell a=7.668 b=7.668 c=5.452 alpha=100.36 beta=100.36 gamma=35.84
Fractional positions:
C1 0.704 0.046 0.188
Li1 0.001 0.000 0.992
Li2 0.250 0.251 0.125
Li3 0.750 0.749 0.383
Li4 0.998 0.002 0.508
B1 0.460 0.787 0.060
B2 0.044 0.706 0.688
B3 0.538 0.212 0.441
C2 0.292 0.952 0.310
B4 0.962 0.292 0.812
Li5 0.748 0.752 0.867
C3 0.711 0.039 0.688
C4 0.798 0.458 0.065
B5 0.040 0.710 0.188
C5 0.207 0.543 0.938
B6 0.963 0.290 0.315
C6 0.792 0.458 0.562
B7 0.538 0.212 0.934
B8 0.458 0.788 0.563
C7 0.292 0.958 0.813
C8 0.207 0.543 0.437
Li6 0.499 0.500 0.250



No. 19
# Er4CrS7

A relaxed Er4CrS7 crystal (PBE-GGA, Alexandria via LeMat-Bulk).

The calculation puts the total energy at -6.4983 eV per atom. The formation energy without anion corrections comes out at -1.768 eV per atom.

Unit cell a=6.453 b=6.453 c=11.361 alpha=74.51 beta=74.51 gamma=33.96
Site moments in Bohr magnetons follow the coordinates.
Fractional positions:
S1 0.961 0.961 0.783  0.00
Er1 0.300 0.300 0.809  0.02
S2 0.328 0.328 0.057  0.00
Er2 0.992 0.992 0.006  0.01
Er3 0.119 0.119 0.565  0.03
S3 0.512 0.512 0.474  -0.01
S4 0.278 0.278 0.355  0.00
S5 0.753 0.753 0.633  -0.02
S6 0.652 0.652 0.946  -0.01
Er4 0.687 0.687 0.222  0.04
S7 0.028 0.028 0.227  -0.03
Cr1 0.890 0.890 0.423  3.33



No. 20
# PaAgHg2

A relaxed PaAgHg2 crystal (PBE-GGA, Alexandria via LeMat-Bulk).

The calculation puts the total energy at -3.1612 eV per atom. Its energy above the most stable polymorph in this dataset is 23 meV per atom.

Unit cell a=3.178 b=3.178 c=8.765 alpha=90.00 beta=90.00 gamma=90.00
Site moments in Bohr magnetons follow the coordinates.
Fractional positions:
Hg1 0.000 0.000 0.772  0.01
Pa1 0.500 0.500 0.500  0.87
Hg2 0.000 0.000 0.228  0.01
Ag1 0.500 0.500 0.000  0.00



No. 21
# Zr2Ir

A relaxed Zr2Ir crystal (PBE-GGA, Alexandria via LeMat-Bulk).

The calculation puts the total energy at -9.0626 eV per atom.

Unit cell a=4.050 b=4.050 c=14.445 alpha=98.06 beta=98.06 gamma=90.00
Fractional positions:
Zr1 0.664 0.164 0.327
Zr2 0.746 0.746 0.492
Zr3 0.836 0.336 0.673
Zr4 0.414 0.414 0.827
Ir1 0.917 0.917 0.833
Zr5 0.504 0.004 0.008
Zr6 0.254 0.254 0.508
Ir2 0.083 0.083 0.167
Zr7 0.586 0.586 0.173
Zr8 0.996 0.496 0.992
Ir3 0.167 0.667 0.333
Ir4 0.333 0.833 0.667